No. 1
Material: Sr2GaTeAu
Method: DFT, GGA-PBE
State: optimized geometry

Structure (POSCAR):
```
Sr2GaTeAu
1.0
6.156 0.000 0.000
0.000 6.156 0.000
0.000 0.000 5.486
Sr Ga Te Au
2 1 1 1
direct
0.000 0.500 0.000
0.500 0.000 0.000
0.000 0.000 0.500
0.000 0.000 0.000
0.500 0.500 0.500
```

Results
energy relative to the elements, uncorrected	-0.15	eV per atom
theoretical density	4.549	g cm⁻³

No. 2
Material: Sr2TmGa3Au12
Method: DFT, GGA-PBE
State: optimized geometry

Structure (POSCAR):
```
Sr2TmGa3Au12
1.0
3.411 1.970 10.511
-3.411 1.970 10.511
0.000 -3.939 10.511
Sr Tm Ga Au
2 1 3 12
direct
0.137 0.137 0.137
0.863 0.863 0.863
0.500 0.500 0.500
0.000 0.500 0.500
0.500 0.000 0.500
0.500 0.500 0.000
0.069 0.628 0.628
0.093 0.093 0.681
0.093 0.681 0.093
0.319 0.907 0.907
0.372 0.372 0.931
0.372 0.931 0.372
0.628 0.069 0.628
0.628 0.628 0.069
0.681 0.093 0.093
0.907 0.319 0.907
0.907 0.907 0.319
0.931 0.372 0.372
```

Results
calculated formation energy	-0.31	eV per atom
theoretical density	11.431	g cm⁻³

No. 3
Material: SrTmGa2Au2
Method: DFT, GGA-PBE
State: optimized geometry

Structure (POSCAR):
```
SrTmGa2Au2
1.0
4.599 0.000 0.000
-2.299 3.982 0.000
0.000 0.000 7.538
Sr Tm Ga Au
1 1 2 2
direct
0.000 0.000 0.000
0.000 0.000 0.500
0.333 0.667 0.296
0.667 0.333 0.704
0.333 0.667 0.700
0.667 0.333 0.300
```

Results
calculated formation energy	-0.75	eV per atom
theoretical density	9.501	g cm⁻³

No. 4
Material: SrYGa2Au5
Method: DFT, GGA-PBE
State: optimized geometry

Structure (POSCAR):
```
SrYGa2Au5
1.0
4.797 0.000 0.000
0.000 4.797 0.000
0.000 0.000 8.513
Sr Y Ga Au
1 1 2 5
direct
0.000 0.000 0.000
0.000 0.000 0.500
0.500 0.500 0.353
0.500 0.500 0.647
0.000 0.500 0.251
0.000 0.500 0.749
0.500 0.000 0.251
0.500 0.000 0.749
0.500 0.500 0.000
```

Results
calculated formation energy	-0.50	eV per atom
theoretical density	11.027	g cm⁻³

No. 5
Material: Sr2YGaAu
Method: DFT, GGA-PBE
State: optimized geometry

Structure (POSCAR):
```
Sr2YGaAu
1.0
6.540 0.000 0.000
0.000 6.540 0.000
0.000 0.000 5.208
Sr Y Ga Au
2 1 1 1
direct
0.000 0.500 0.000
0.500 0.000 0.000
0.000 0.000 0.000
0.500 0.500 0.500
0.000 0.000 0.500
```

Results
calculated formation energy	0.56	eV per atom
theoretical density	3.956	g cm⁻³

No. 6
Material: SrZnGaAu2
Method: DFT, GGA-PBE
State: optimized geometry

Structure (POSCAR):
```
SrZnGaAu2
1.0
-2.177 2.177 5.874
2.177 -2.177 5.874
2.177 2.177 -5.874
Sr Zn Ga Au
1 1 1 2
direct
0.000 0.000 0.000
0.750 0.250 0.500
0.250 0.750 0.500
0.380 0.380 0.000
0.620 0.620 0.000
```

Results
calculated formation energy	-0.55	eV per atom
theoretical density	9.194	g cm⁻³

No. 7
Material: Sr2ZnGa4Au3
Method: DFT, GGA-PBE
State: optimized geometry

Structure (POSCAR):
```
Sr2ZnGa4Au3
1.0
4.469 0.000 0.000
0.000 4.469 0.000
0.000 0.000 10.885
Sr Zn Ga Au
2 1 4 3
direct
0.000 0.500 0.249
0.500 0.000 0.751
0.500 0.500 0.000
0.000 0.000 0.500
0.000 0.500 0.871
0.500 0.000 0.129
0.500 0.500 0.500
0.000 0.000 0.000
0.000 0.500 0.632
0.500 0.000 0.368
```

Results
calculated formation energy	-0.55	eV per atom
theoretical density	8.480	g cm⁻³

No. 8
Material: Sr2Zn2GaAu4
Method: DFT, GGA-PBE
State: optimized geometry

Structure (POSCAR):
```
Sr2Zn2GaAu4
1.0
-3.459 3.459 4.283
3.459 -3.459 4.283
3.459 3.459 -4.283
Sr Zn Ga Au
2 2 1 4
direct
0.250 0.750 0.500
0.750 0.250 0.500
0.176 0.176 0.000
0.824 0.824 0.000
0.500 0.500 0.000
0.232 0.232 0.464
0.232 0.768 0.000
0.768 0.232 0.000
0.768 0.768 0.536
```

Results
calculated formation energy	-0.48	eV per atom
theoretical density	9.424	g cm⁻³